1.
First-principles (PBE) data for a geometry-optimized KSn2Pb6 structure, as listed in the Alexandria database.

a = 5.114 Å, b = 5.114 Å, c = 11.611 Å
α = 90.00°, β = 90.00°, γ = 90.00°
Positions (direct):
K 0.000 0.000 0.000
Sn 0.500 0.500 0.124
Sn 0.500 0.500 0.876
Pb 0.000 0.500 0.289
Pb 0.500 0.000 0.289
Pb 0.000 0.500 0.711
Pb 0.500 0.000 0.711
Pb 0.500 0.500 0.500
Pb 0.000 0.000 0.500

calculated formation energy	-0.05	eV per atom

---

2.
First-principles (PBE) data for a geometry-optimized CsSn2As2 structure, as listed in the Alexandria database.

a = 5.068 Å, b = 5.068 Å, c = 7.743 Å
α = 70.89°, β = 70.89°, γ = 90.00°
Positions (direct):
Cs 0.000 0.000 0.000
As 0.346 0.346 0.309
As 0.654 0.654 0.691
Sn 0.750 0.250 0.500
Sn 0.250 0.750 0.500

calculated formation energy	-0.22	eV per atom

---

3.
First-principles (PBE) data for a geometry-optimized Mg2ZrTi structure, as listed in the Alexandria database.

a = 4.865 Å, b = 4.865 Å, c = 4.865 Å
α = 60.00°, β = 60.00°, γ = 60.00°
Positions (direct):
Mg 0.250 0.250 0.250
Mg 0.750 0.750 0.750
Zr 0.500 0.500 0.500
Ti 0.000 0.000 0.000

calculated formation energy	0.18	eV per atom

---

4.
First-principles (PBE) data for a geometry-optimized TmAl2Au3 structure, as listed in the Alexandria database.

a = 4.482 Å, b = 4.482 Å, c = 12.945 Å
α = 90.00°, β = 90.00°, γ = 120.00°
Positions (direct):
Tm 0.000 0.000 0.250
Tm 0.000 0.000 0.750
Al 0.667 0.333 0.421
Al 0.333 0.667 0.579
Al 0.333 0.667 0.921
Al 0.667 0.333 0.079
Au 0.000 0.000 0.500
Au 0.000 0.000 0.000
Au 0.667 0.333 0.636
Au 0.333 0.667 0.136
Au 0.667 0.333 0.864
Au 0.333 0.667 0.364

calculated formation energy	-0.63	eV per atom

---

5.
First-principles (PBE) data for a geometry-optimized LiCaNdSb structure, as listed in the Alexandria database.

a = 5.357 Å, b = 5.357 Å, c = 5.357 Å
α = 60.00°, β = 60.00°, γ = 60.00°
Positions (direct):
Sb 0.500 0.500 0.500
Ca 0.750 0.750 0.750
Nd 0.250 0.250 0.250
Li 0.000 0.000 0.000

ΔE_f (raw)	-0.479	eV per atom

---

6.
First-principles (PBE) data for a geometry-optimized PaAlCuOs structure, as listed in the Alexandria database.

a = 4.641 Å, b = 4.641 Å, c = 4.641 Å
α = 60.00°, β = 60.00°, γ = 60.00°
Positions (direct):
Pa 0.000 0.000 0.000
Os 0.750 0.750 0.750
Al 0.500 0.500 0.500
Cu 0.250 0.250 0.250

calculated formation energy	-0.17	eV per atom

---

Copy entry 1 word for word.
First-principles (PBE) data for a geometry-optimized KSn2Pb6 structure, as listed in the Alexandria database.

a = 5.114 Å, b = 5.114 Å, c = 11.611 Å
α = 90.00°, β = 90.00°, γ = 90.00°
Positions (direct):
K 0.000 0.000 0.000
Sn 0.500 0.500 0.124
Sn 0.500 0.500 0.876
Pb 0.000 0.500 0.289
Pb 0.500 0.000 0.289
Pb 0.000 0.500 0.711
Pb 0.500 0.000 0.711
Pb 0.500 0.500 0.500
Pb 0.000 0.000 0.500

calculated formation energy	-0.05	eV per atom